# SrMoPO2

Crystalline SrMoPO2 at its relaxed geometry (GGA+U, Alexandria).

Unit cell a=4.359 b=4.359 c=6.623 alpha=90.00 beta=90.00 gamma=90.00
Space group P4/mmm (No. 123)
Symmetry-distinct sites (fractional):
Sr1 0.000 0.000 0.000
Mo1 0.500 0.500 0.500
P1 0.000 0.000 0.500
O1 0.000 0.500 0.000

Summary:
N(E_F) ... 3.118 states/eV/f.u.
ΔE to the lowest computed polymorph ... 34.81 kcal/mol of atoms
Uncorrected energy ... -4.54 eV/atom
Crystal system ... tetragonal